The following is a PBE calculation of a relaxed TcSBr crystal, from Alexandria.

The calculation puts the uncorrected formation energy at -0.056 eV/atom. The energy relative to the lowest polymorph listed for this composition comes out at 0.99 eV/f.u. The density of states at the Fermi level comes out at 26.5 states/eV per cell.

It has space group Cc (No. 9), with a = 17.185 Å, b = 6.545 Å, c = 10.330 Å, α = 90.00°, β = 119.93° and γ = 90.00°. The distinct sites, in fractional coordinates, are Tc at (0.000, 0.040, 0.000), Tc at (0.122, 0.117, 0.953), Tc at (0.296, 0.378, 0.573), S at (0.043, 0.122, 0.708), S at (0.184, 0.185, 0.521), S at (0.251, 0.311, 0.007), Br at (0.088, 0.370, 0.114), Br at (0.354, 0.260, 0.412) and Br at (0.421, 0.251, 0.822).